No. 1
Entry from the Alexandria database: an optimized crystal structure of DyY6Zn2 (PBE).

E_form (eV per atom): -0.147
VASP energy (eV for the cell shown): -47.26
Calculated volume (Å³ per cell): 254

Geometry as POSCAR:
```
DyY6Zn2
1.0
-3.0255 1.8172 0.8468
-4.6638 -2.3085 -3.9311
-5.2101 -8.0452 6.4277
Dy Y Zn
1 6 2
direct
0.0000 0.0000 0.0000
0.6903 0.4949 0.1246
0.3097 0.5051 0.8754
0.3157 0.7799 0.5888
0.9741 0.7257 0.3261
0.0259 0.2743 0.6739
0.6843 0.2201 0.4112
0.3512 0.0959 0.2018
0.6488 0.9041 0.7982
```

***

No. 2
Entry from the Alexandria database: an optimized crystal structure of DyY4Zn (PBE).

Energy relative to the lowest polymorph listed for this composition (eV/atom): 0.099
E_form (eV per atom): -0.005
VASP energy (eV for the cell shown): -63.53
Calculated volume (Å³ per cell): 356

Geometry as POSCAR:
```
DyY4Zn
1.0
-4.2216 2.9516 3.5290
-0.3356 -8.9300 1.1454
6.8295 3.4653 2.7086
Dy Y Zn
2 8 2
direct
0.3499 0.5999 0.1998
0.6501 0.4001 0.8002
0.0413 0.1710 0.7878
0.7655 0.7138 0.6350
0.2465 0.6168 0.7878
0.3695 0.9212 0.6350
0.6305 0.0788 0.3650
0.7535 0.3832 0.2122
0.2345 0.2862 0.3650
0.9587 0.8290 0.2122
0.2492 0.9992 0.9985
0.7508 0.0008 0.0015
```

***

No. 3
Entry from the Alexandria database: an optimized crystal structure of Dy4Y9Zn11 (PBE).

E_form (eV per atom): -0.255
VASP energy (eV for the cell shown): -96.73
Calculated volume (Å³ per cell): 566

Geometry as POSCAR:
```
Dy4Y9Zn11
1.0
-0.6450 0.4677 -3.3678
12.7989 -1.2821 -2.6292
-5.5879 -11.8664 -0.5777
Dy Y Zn
4 9 11
direct
0.5000 0.5774 0.7537
0.5000 0.4226 0.2463
0.5000 0.7537 0.5774
0.5000 0.2463 0.4226
0.5000 0.6234 0.1464
0.5000 0.3766 0.8536
0.5000 0.1464 0.6234
0.5000 0.8536 0.3766
0.5000 0.7946 0.9750
0.5000 0.2054 0.0250
0.5000 0.9750 0.7946
0.5000 0.0250 0.2054
0.5000 0.5000 0.5000
0.0000 0.5838 0.9457
0.0000 0.4162 0.0543
0.0000 0.9457 0.5838
0.0000 0.0543 0.4162
0.0000 0.6317 0.3683
0.0000 0.3683 0.6317
0.0000 0.8255 0.1745
0.0000 0.1745 0.8255
0.0000 0.0000 0.0000
0.0000 0.7776 0.7776
0.0000 0.2224 0.2224
```

***

No. 4
Entry from the Alexandria database: an optimized crystal structure of Dy2Y3Zn3 (PBE).

E_form (eV per atom): -0.264
VASP energy (eV for the cell shown): -34.53
Calculated volume (Å³ per cell): 201

Geometry as POSCAR:
```
Dy2Y3Zn3
1.0
3.5609 0.0000 -0.5735
-0.1947 5.0285 -1.2092
-0.0224 0.0297 11.2026
Dy Y Zn
2 3 3
direct
0.2715 0.7715 0.5429
0.7285 0.2285 0.4571
0.3819 0.3819 0.7638
0.6181 0.6181 0.2362
0.5000 0.0000 0.0000
0.8847 0.8847 0.7694
0.0000 0.5000 0.0000
0.1153 0.1153 0.2306
```

***

No. 5
Entry from the Alexandria database: an optimized crystal structure of Dy2Y3Zn2 (PBE).

Energy relative to the lowest polymorph listed for this composition (eV/atom): 0.038
E_form (eV per atom): -0.125
VASP energy (eV for the cell shown): -32.02
Calculated volume (Å³ per cell): 191

Geometry as POSCAR:
```
Dy2Y3Zn2
1.0
-1.1185 0.6341 3.2919
-3.3363 -0.4188 -1.0529
0.3169 -14.6691 4.8302
Dy Y Zn
2 3 2
direct
0.7013 0.5000 0.5975
0.2987 0.5000 0.4025
0.8820 0.0000 0.2361
0.0000 0.0000 0.0000
0.1180 0.0000 0.7639
0.5580 0.5000 0.8840
0.4420 0.5000 0.1160
```

***

No. 6
Entry from the Alexandria database: an optimized crystal structure of DyY2Zn4 (PBE).

E_form (eV per atom): -0.170
VASP energy (eV for the cell shown): -23.82
Calculated volume (Å³ per cell): 165

Geometry as POSCAR:
```
DyY2Zn4
1.0
4.9234 0.0000 -1.5694
-0.5003 4.8980 -1.5694
-0.4303 -0.4765 7.1573
Dy Y Zn
1 2 4
direct
0.0000 0.0000 0.0000
0.7229 0.7229 0.4458
0.2771 0.2771 0.5542
0.3901 0.8901 0.7803
0.8901 0.3901 0.7803
0.6099 0.1099 0.2197
0.1099 0.6099 0.2197
```

***

No. 7
Entry from the Alexandria database: an optimized crystal structure of Dy3Y4Zn (PBE).

E_form (eV per atom): -0.070
VASP energy (eV for the cell shown): -41.50
Calculated volume (Å³ per cell): 238

Geometry as POSCAR:
```
Dy3Y4Zn
1.0
-3.2744 -0.7669 -1.1717
0.7140 -3.4777 0.2809
-6.3497 0.1230 17.6646
Y Zn Dy
4 1 3
direct
0.0000 0.0000 0.9048
0.0000 0.0000 0.0952
0.0000 0.0000 0.3653
0.0000 0.0000 0.6347
0.5000 0.5000 0.0000
0.5000 0.5000 0.2323
0.5000 0.5000 0.5000
0.5000 0.5000 0.7677
```

***

No. 8
Entry from the Alexandria database: an optimized crystal structure of DyY3Zn8 (PBE).

E_form (eV per atom): -0.341
VASP energy (eV for the cell shown): -38.27
Calculated volume (Å³ per cell): 231

Geometry as POSCAR:
```
DyY3Zn8
1.0
5.4805 0.0000 0.0000
2.7403 4.7463 0.0000
2.7403 1.5821 8.8995
Dy Y Zn
1 3 8
direct
0.8749 0.8749 0.3752
0.3754 0.3754 0.8738
0.9994 0.9994 0.0018
0.5003 0.5003 0.4991
0.9378 0.4373 0.1875
0.4373 0.9376 0.6875
0.4373 0.4373 0.1875
0.9376 0.9376 0.6875
0.1875 0.1875 0.4374
0.6874 0.6874 0.9377
0.4373 0.9378 0.1875
0.9376 0.4373 0.6875
```

***

Question: Look up the E_form of the fourth one.
Answer: -0.264 eV per atom